# 1
24
Lattice="-5.919 -2.492 -4.499 -0.948 -2.685 7.307 -3.684 13.755 1.776" Properties=species:S:1:pos:R:3 comment="PBE-GGA TlHg2Se3, optimized geometry" dft_energy_ev_per_atom=-2.4251 pbc="T T T"
Tl -4.282 7.346 3.080
Tl -5.443 1.201 3.468
Tl -7.113 -2.069 0.642
Tl -5.098 10.712 0.003
Hg -1.943 3.684 2.045
Hg -3.022 -2.604 2.383
Hg -7.775 4.862 4.520
Hg -3.743 0.619 -0.723
Hg -8.460 8.024 1.384
Hg -3.621 4.225 6.223
Hg -5.515 -2.507 -3.538
Hg -6.114 4.322 0.302
Se -6.201 9.302 2.227
Se -7.316 3.135 2.459
Se -1.431 1.809 0.113
Se -9.492 6.784 3.589
Se -3.717 5.463 0.982
Se -4.735 -0.708 1.446
Se -4.316 12.292 4.822
Se -5.449 6.035 5.332
Se -5.590 2.444 -1.601
Se -3.002 2.462 4.243
Se -4.231 -3.791 4.523
Se -7.819 6.246 -0.600



# 2
8
Lattice="-4.437 1.339 -2.025 -4.440 -8.962 3.803 -2.110 6.012 8.597" Properties=species:S:1:pos:R:3 comment="PBE-GGA Rb6NaAg, optimized geometry" e_form_ev_per_atom=0.04 dft_energy_ev_per_atom=-1.2055 pbc="T T T"
Rb -4.014 -0.080 8.741
Rb -1.958 0.846 4.848
Rb -3.635 -3.787 5.460
Rb -7.630 -3.624 8.005
Rb -3.978 -1.979 1.092
Rb -6.459 -7.010 3.201
Na -2.461 3.754 7.874
Ag -4.939 2.758 6.328



# 3
3
Lattice="4.557 0.000 0.000 0.000 4.557 0.000 0.000 0.000 4.446" Properties=species:S:1:pos:R:3 comment="PBE-GGA In2Sb, optimized geometry" dft_energy_ev_per_atom=-3.1004 pbc="T T T"
In 0.000 2.278 2.223
In 2.278 0.000 2.223
Sb 0.000 0.000 0.000



# 4
16
Lattice="6.781 0.049 0.000 -2.331 6.465 0.000 0.000 0.000 7.886" Properties=species:S:1:pos:R:3 comment="PBE-GGA Ce4CS3, optimized geometry" dft_energy_ev_per_atom=-7.2469 e_above_lowest_polymorph_ev_per_atom=0.000 pbc="T T T"
C 5.086 0.037 6.890
C 1.695 0.012 0.997
S 5.086 0.037 2.951
S 1.695 0.012 4.935
S 3.921 3.270 4.924
S 3.921 3.270 0.986
S 0.530 3.245 2.962
S 0.530 3.245 6.900
Ce 6.127 1.578 5.043
Ce 2.878 1.480 6.999
Ce 2.737 1.553 2.843
Ce -0.512 1.455 0.888
Ce 4.963 5.060 6.999
Ce 1.714 4.962 5.043
Ce 1.572 5.035 0.888
Ce -1.677 4.937 2.843



# 5
12
Lattice="-3.236 2.268 1.192 -0.279 -7.119 5.644 5.840 6.441 3.602" Properties=species:S:1:pos:R:3 comment="PBE-GGA SmTh3Tc2, optimized geometry" e_form_ev_per_atom=-0.04 dft_energy_ev_per_atom=-7.9869 pbc="T T T"
Sm 0.229 -0.636 1.831
Sm 2.096 2.225 8.607
Th 2.753 4.496 6.067
Th 3.914 4.150 2.731
Th 1.859 -0.609 6.207
Th 0.466 2.199 4.230
Th -1.589 -2.560 7.707
Th -0.427 -2.906 4.371
Tc 3.421 6.525 4.022
Tc -1.096 -4.935 6.415
Tc 3.205 2.024 4.853
Tc -0.880 -0.434 5.585



# 6
15
Lattice="6.617 0.000 0.000 -3.308 5.730 0.000 0.000 0.000 7.486" Properties=species:S:1:pos:R:3 comment="PBE-GGA Tb3As2PRh9, optimized geometry" e_form_ev_per_atom=-0.55 dft_energy_ev_per_atom=-6.8712 pbc="T T T"
Tb 0.000 3.820 5.162
Tb 0.000 0.000 0.000
Tb 3.308 1.910 2.324
As 0.000 3.820 1.518
As 3.308 1.910 5.968
P 0.000 0.000 3.743
Rh 5.190 0.824 5.237
Rh 3.308 4.083 5.237
Rh 1.427 0.824 5.237
Rh 1.882 4.906 2.249
Rh 0.000 1.648 2.249
Rh -1.882 4.906 2.249
Rh 3.308 0.000 0.000
Rh -1.654 2.865 0.000
Rh 1.654 2.865 0.000



# 7
12
Lattice="8.120 0.360 0.000 2.566 7.966 0.000 1.283 3.983 7.164" Properties=species:S:1:pos:R:3 comment="PBE-GGA Cs5NpS6, optimized geometry" dft_energy_ev_per_atom=-4.6245 pbc="T T T"
Cs 5.343 4.163 4.754
Cs 1.283 3.983 2.374
Cs 5.343 4.163 0.000
Cs 2.566 7.966 4.790
Cs 6.626 8.145 2.411
Np 0.000 0.000 0.000
S 7.037 1.790 1.786
S 3.649 6.535 1.786
S 2.017 1.514 0.000
S 8.669 6.811 0.000
S 8.320 5.773 5.378
S 4.932 10.518 5.378



# 8
10
Lattice="-1.277 -2.806 2.638 0.211 -2.825 -2.904 9.647 -1.949 2.596" Properties=species:S:1:pos:R:3 comment="PBE-GGA Er2GaSi4Rh3, optimized geometry" dft_energy_ev_per_atom=-6.4743 pbc="T T T"
Er 1.695 -1.875 1.947
Er 7.419 -2.890 0.516
Ga 4.290 -3.790 1.164
Si -0.533 -2.816 -0.133
Si 0.000 0.000 0.000
Si 5.589 -2.661 2.994
Si 3.524 -2.103 -0.532
Rh 4.823 -0.974 1.298
Rh 7.803 -3.108 3.590
Rh 1.311 -1.656 -1.128



# 9
7
Lattice="-0.754 -3.867 -4.029 0.587 -4.325 4.042 -6.320 4.850 0.469" Properties=species:S:1:pos:R:3 comment="PBE-GGA Sm2Tl4Cd, optimized geometry" e_form_ev_per_atom=-0.03 dft_energy_ev_per_atom=-2.8599 pbc="T T T"
Tl -3.532 -1.958 -1.400
Tl -2.955 -1.385 1.882
Tl -0.377 -1.933 -2.014
Tl 0.294 -2.163 2.021
Sm -1.901 -4.134 0.383
Sm -4.586 0.791 0.099
Cd 0.000 0.000 0.000



# 10
4
Lattice="0.010 -0.903 -5.425 -2.048 -3.194 -3.981 -3.790 2.863 -0.859" Properties=species:S:1:pos:R:3 comment="PBE-GGA Tl2TcAs, optimized geometry" e_form_ev_per_atom=0.75 dft_energy_ev_per_atom=-4.1838 e_above_lowest_polymorph_ev_per_atom=0.640 pbc="T T T"
As -4.371 -0.926 -7.699
Tl -2.042 -4.039 -9.320
Tl -2.910 -0.675 -5.219
Tc -1.457 -0.309 -2.566



# 11
7
Lattice="4.877 0.000 0.000 2.439 4.224 0.000 2.439 1.408 8.298" Properties=species:S:1:pos:R:3 comment="PBE-GGA Li2AcCd2Hg2, optimized geometry" e_form_ev_per_atom=-0.28 dft_energy_ev_per_atom=-1.7599 pbc="T T T"
Li 2.439 1.408 4.774
Li 7.316 4.224 3.524
Ac 0.000 0.000 0.000
Cd 7.316 4.224 6.337
Cd 2.439 1.408 1.960
Hg 4.877 2.816 2.572
Hg 4.877 2.816 5.725



# 12
10
Lattice="4.469 0.000 0.000 0.000 9.396 0.734 0.000 -3.340 9.425" Properties=species:S:1:pos:R:3 comment="PBE-GGA RbUTe2Cl, optimized geometry" dft_energy_ev_per_atom=-5.2148 pbc="T T T"
Rb 1.117 5.743 3.534
Rb 3.351 0.313 6.625
U 1.117 5.046 8.431
U 3.351 1.011 1.729
Te 3.351 5.964 6.607
Te 3.351 7.651 1.026
Te 1.117 0.092 3.552
Te 1.117 -1.594 9.133
Cl 1.117 2.597 7.513
Cl 3.351 3.460 2.646



Copy entry 12 word for word.
10
Lattice="4.469 0.000 0.000 0.000 9.396 0.734 0.000 -3.340 9.425" Properties=species:S:1:pos:R:3 comment="PBE-GGA RbUTe2Cl, optimized geometry" dft_energy_ev_per_atom=-5.2148 pbc="T T T"
Rb 1.117 5.743 3.534
Rb 3.351 0.313 6.625
U 1.117 5.046 8.431
U 3.351 1.011 1.729
Te 3.351 5.964 6.607
Te 3.351 7.651 1.026
Te 1.117 0.092 3.552
Te 1.117 -1.594 9.133
Cl 1.117 2.597 7.513
Cl 3.351 3.460 2.646